w.
Compound: K2Na2Ga
Source: Alexandria via LeMat-Bulk
Functional: PBE-GGA
Structure: optimized geometry

## Properties
Crystal system: tetragonal

Geometry as extended XYZ:
```
10
Lattice="-8.4440 -2.2718 2.6982 -2.5275 -0.9859 -8.7397 1.4593 -5.2251 0.1674" Properties=species:S:1:pos:R:3 pbc="T T T"
K -5.1090 -1.6347 -6.4873
Na -7.1338 -4.8297 -0.5723
Na -2.4978 -3.5323 -0.4899
Ga 0.0000 0.0000 0.0000
Na -2.3784 -3.6531 -5.3017
K -5.8625 -1.6230 0.4458
K -8.8231 -2.5725 -3.3819
K -2.1484 -0.6852 -2.6596
Ga -5.4857 -1.6289 -3.0207
Na -7.0144 -4.9505 -5.3842
```



x.
Compound: K2Na2Ga
Source: Alexandria via LeMat-Bulk
Functional: PBE-GGA
Structure: optimized geometry

## Properties
Crystal system: tetragonal

Geometry as extended XYZ:
```
5
Lattice="4.4979 0.0000 0.0000 0.0000 4.4979 0.0000 2.2490 2.2490 10.9036" Properties=species:S:1:pos:R:3 pbc="T T T"
Na 2.2490 4.4979 5.4518
K 2.2490 2.2490 1.9406
K 4.4979 4.4979 8.9631
Ga 0.0000 0.0000 0.0000
Na 4.4979 2.2490 5.4518
```



y.
Compound: K2Na2Ga
Source: Alexandria via LeMat-Bulk
Functional: PBE-GGA
Structure: optimized geometry

## Properties
Crystal system: tetragonal

Geometry as extended XYZ:
```
10
Lattice="8.1976 0.0000 0.0000 0.0000 8.1976 0.0000 0.0000 0.0000 6.2288" Properties=species:S:1:pos:R:3 pbc="T T T"
Na 1.2482 2.8506 0.0000
Ga 0.0000 0.0000 0.0000
K 2.5765 1.5223 3.1144
Na 6.9494 5.3470 0.0000
Na 5.3470 1.2482 0.0000
K 1.5223 5.6211 3.1144
K 5.6211 6.6753 3.1144
K 6.6753 2.5765 3.1144
Na 2.8506 6.9494 0.0000
Ga 4.0988 4.0988 0.0000
```



What should be chosen as the least stable of them? Choose w.



w.
Compound: KRbNa2Ga
Source: Alexandria via LeMat-Bulk
Functional: PBE-GGA
Structure: optimized geometry

## Properties
Crystal system: tetragonal

Geometry as extended XYZ:
```
5
Lattice="-0.4007 -1.0910 5.9563 -4.7186 -3.6849 -0.9924 4.1111 -5.0879 -0.6554" Properties=species:S:1:pos:R:3 pbc="T T T"
Rb -0.5041 -4.9319 2.1543
K 2.0555 -2.5439 -0.3277
Na -0.2003 -0.5455 2.9782
Ga 0.0000 0.0000 0.0000
Na -2.3593 -1.8424 -0.4962
```



x.
Compound: KRbNa2Ga
Source: Alexandria via LeMat-Bulk
Functional: PBE-GGA
Structure: optimized geometry

## Properties
Crystal system: tetragonal

Geometry as extended XYZ:
```
5
Lattice="6.0737 0.0000 0.0000 0.0000 6.0737 0.0000 0.0000 0.0000 6.7381" Properties=species:S:1:pos:R:3 pbc="T T T"
Rb 0.0000 0.0000 3.3691
K 3.0369 3.0369 3.3691
Na 0.0000 3.0369 0.0000
Ga 0.0000 0.0000 0.0000
Na 3.0369 0.0000 0.0000
```



What should be chosen as the least stable of them? Choose x.



w.
Compound: KNbGa3
Source: Alexandria via LeMat-Bulk
Functional: PBE-GGA
Structure: optimized geometry

## Properties
Crystal system: cubic

Geometry as extended XYZ:
```
5
Lattice="-5.1090 -0.4147 -0.5501 0.5050 -5.0545 -0.8794 -0.4686 -0.9254 5.0498" Properties=species:S:1:pos:R:3 pbc="T T T"
Nb 0.0000 0.0000 0.0000
Ga -2.5545 -0.2073 -0.2750
Ga -0.2343 -0.4627 2.5249
Ga 0.2525 -2.5273 -0.4397
K -2.5363 -3.1973 1.8102
```



x.
Compound: KNbGa3
Source: Alexandria via LeMat-Bulk
Functional: PBE-GGA
Structure: optimized geometry

## Properties
Crystal system: cubic

Geometry as extended XYZ:
```
5
Lattice="-3.9491 2.3375 2.2645 -3.1402 -1.8012 -3.6169 -0.8551 -4.1807 2.8244" Properties=species:S:1:pos:R:3 pbc="T T T"
Nb -3.9722 -1.8222 0.7360
Ga -0.4275 -2.0904 1.4122
K 0.0000 0.0000 0.0000
Ga -1.9745 1.1688 1.1322
Ga -1.5701 -0.9006 -1.8084
```



What should be chosen as the least stable of them? Choose x.



w.
Compound: KNb3Ga
Source: Alexandria via LeMat-Bulk
Functional: PBE-GGA
Structure: optimized geometry

## Properties
Crystal system: cubic

Geometry as extended XYZ:
```
5
Lattice="4.6237 0.0000 0.0000 0.0000 4.6237 0.0000 0.0000 0.0000 4.6237" Properties=species:S:1:pos:R:3 pbc="T T T"
Nb 0.0000 0.0000 2.3118
Nb 0.0000 2.3118 0.0000
Nb 2.3118 0.0000 0.0000
K 0.0000 0.0000 0.0000
Ga 2.3118 2.3118 2.3118
```



x.
Compound: KNb3Ga
Source: Alexandria via LeMat-Bulk
Functional: PBE-GGA
Structure: optimized geometry

## Properties
Crystal system: cubic

Geometry as extended XYZ:
```
5
Lattice="4.9832 0.0000 0.0000 0.0000 4.9832 0.0000 0.0000 0.0000 4.9832" Properties=species:S:1:pos:R:3 pbc="T T T"
Nb 2.4916 0.0000 0.0000
Ga 0.0000 0.0000 0.0000
K 2.4916 2.4916 2.4916
Nb 0.0000 2.4916 0.0000
Nb 0.0000 0.0000 2.4916
```



What should be chosen as the least stable of them? Choose w.



w.
Compound: KNbGa2
Source: Alexandria via LeMat-Bulk
Functional: PBE-GGA
Structure: optimized geometry

## Properties
Crystal system: cubic

Geometry as extended XYZ:
```
4
Lattice="0.0000 3.5258 3.5258 3.5258 0.0000 3.5258 3.5258 3.5258 0.0000" Properties=species:S:1:pos:R:3 pbc="T T T"
Ga 1.7629 1.7629 1.7629
Nb 3.5258 3.5258 3.5258
Ga 5.2887 5.2887 5.2887
K 0.0000 0.0000 0.0000
```



x.
Compound: KNbGa2
Source: Alexandria via LeMat-Bulk
Functional: PBE-GGA
Structure: optimized geometry

## Properties
Crystal system: tetragonal

Geometry as extended XYZ:
```
8
Lattice="-4.3769 0.9182 -3.0375 1.1928 -4.3194 -3.0245 -6.5354 -6.9436 2.5073" Properties=species:S:1:pos:R:3 pbc="T T T"
Ga -5.3071 -1.4740 -2.4038
K -3.4674 -6.4818 -1.7741
Nb -6.2522 -3.8630 -1.7806
Ga -8.5843 -4.9368 -1.1502
K -1.5921 -1.7006 -3.0310
Ga -4.7257 -3.6305 -3.9265
Ga -6.3918 -5.4107 0.3582
Nb 0.0000 0.0000 0.0000
```



What should be chosen as the least stable of them? Choose x.



w.
Compound: KGaNi3
Source: Alexandria via LeMat-Bulk
Functional: PBE-GGA
Structure: optimized geometry

## Properties
Crystal system: cubic

Geometry as extended XYZ:
```
5
Lattice="4.5578 0.0000 0.0000 0.0000 4.5578 0.0000 0.0000 0.0000 4.5578" Properties=species:S:1:pos:R:3 pbc="T T T"
K 2.2789 2.2789 2.2789
Ni 0.0000 2.2789 0.0000
Ga 0.0000 0.0000 0.0000
Ni 0.0000 0.0000 2.2789
Ni 2.2789 0.0000 0.0000
```



x.
Compound: KGaNi3
Source: Alexandria via LeMat-Bulk
Functional: PBE-GGA
Structure: optimized geometry

## Properties
Crystal system: cubic

Geometry as extended XYZ:
```
5
Lattice="-0.0514 3.3409 -3.0508 -4.5241 -0.0163 0.0583 0.0321 3.0511 3.3408" Properties=species:S:1:pos:R:3 pbc="T T T"
K 0.0000 0.0000 0.0000
Ni -2.2621 -0.0081 0.0292
Ni -0.0257 1.6705 -1.5254
Ga -2.2717 3.1879 0.1742
Ni 0.0160 1.5256 1.6704
```



What should be chosen as the least stable of them? Choose x.



w.
Compound: KGaPO2
Source: Alexandria via LeMat-Bulk
Functional: PBE-GGA
Structure: optimized geometry

## Properties
Crystal system: tetragonal

Geometry as extended XYZ:
```
5
Lattice="-0.3815 2.1820 3.5116 2.3710 -2.7735 1.9809 3.9558 2.5548 -1.1577" Properties=species:S:1:pos:R:3 pbc="T T T"
O 1.1855 -1.3867 0.9905
K 2.9726 0.9817 2.1674
Ga 0.0000 0.0000 0.0000
P 1.9779 1.2774 -0.5788
O -0.1908 1.0910 1.7558
```



x.
Compound: KGaPO2
Source: Alexandria via LeMat-Bulk
Functional: PBE-GGA
Structure: optimized geometry

## Properties
Crystal system: tetragonal

Geometry as extended XYZ:
```
5
Lattice="4.2946 0.0000 0.0000 0.0000 5.8157 0.0000 0.0000 0.0000 4.2946" Properties=species:S:1:pos:R:3 pbc="T T T"
Ga 2.1473 2.9078 2.1473
P 0.0000 2.9078 0.0000
O 2.1473 0.0000 0.0000
O 0.0000 0.0000 2.1473
K 0.0000 0.0000 0.0000
```



What should be chosen as the least stable of them? Choose x.



w.
Compound: KGa2P2
Source: Alexandria via LeMat-Bulk
Functional: PBE-GGA
Structure: optimized geometry

## Properties
Crystal system: tetragonal

Geometry as extended XYZ:
```
5
Lattice="4.2744 0.0000 0.0000 0.0000 4.2744 0.0000 2.1372 2.1372 6.7499" Properties=species:S:1:pos:R:3 pbc="T T T"
Ga 2.1372 4.2744 3.3749
Ga 4.2744 2.1372 3.3749
K 0.0000 0.0000 0.0000
P 4.2744 4.2744 4.6793
P 2.1372 2.1372 2.0706
```



x.
Compound: KGa2P2
Source: Alexandria via LeMat-Bulk
Functional: PBE-GGA
Structure: optimized geometry

## Properties
Crystal system: tetragonal

Geometry as extended XYZ:
```
10
Lattice="-4.6219 -4.9041 -4.7464 0.1964 -5.8256 5.8279 -2.9771 1.3767 1.4765" Properties=species:S:1:pos:R:3 pbc="T T T"
P -1.6822 -7.2295 3.3490
P -0.3725 -2.8228 1.8810
Ga -5.4039 -5.6537 -1.2428
Ga -1.9986 -3.6992 3.8008
Ga -4.2653 -7.4626 2.7395
Ga -3.1372 -1.8903 -0.1815
K 0.0000 0.0000 0.0000
P -2.7432 -3.5002 -2.2675
P -4.0530 -7.9069 -0.7995
K -2.2127 -5.3648 0.5407
```



What should be chosen as the least stable of them? Choose x.